[1]
## BePd4Pb (PBE)

Data for BePd4Pb after structural relaxation.

abc: 7.8428 5.4639 4.6546
angles: 90.00 96.49 90.00
Fractional positions:
1 Be 0.0000 0.0000 0.0000
2 Be 0.0000 0.5000 0.5000
3 Pd 0.1427 0.1179 0.4460
4 Pd 0.1427 0.3821 0.9460
5 Pd 0.2796 0.5977 0.4659
6 Pd 0.2796 0.9023 0.9659
7 Pd 0.7204 0.0977 0.0341
8 Pd 0.7204 0.4023 0.5341
9 Pd 0.8573 0.6179 0.0540
10 Pd 0.8573 0.8821 0.5540
11 Pb 0.5000 0.0000 0.5000
12 Pb 0.5000 0.5000 0.0000

## Properties
As for the total energy: -59.11 eV/cell. As for the density: 10.76 g/cm³.



[2]
## Be2PdPb2 (PBE)

Data for Be2PdPb2 after structural relaxation.

abc: 6.6445 6.6445 4.0717
angles: 90.00 90.00 90.00
Fractional positions:
1 Be 0.1228 0.3772 0.0000
2 Be 0.3772 0.8772 0.0000
3 Be 0.6228 0.1228 0.0000
4 Be 0.8772 0.6228 0.0000
5 Pd 0.0000 0.0000 0.0000
6 Pd 0.5000 0.5000 0.0000
7 Pb 0.1815 0.6815 0.5000
8 Pb 0.3185 0.1815 0.5000
9 Pb 0.6815 0.8185 0.5000
10 Pb 0.8185 0.3185 0.5000

## Properties
As for the total energy: -37.32 eV/cell. Its energy relative to the lowest polymorph listed for this composition is 0.00 kcal/mol of atoms. As for the density: 9.96 g/cm³.



[3]
## Pm2BePd6Pb (PBE)

Data for Pm2BePd6Pb after structural relaxation.

abc: 5.9277 5.9341 7.6962
angles: 67.64 67.42 60.04
Fractional positions:
1 Pm 0.2413 0.2380 0.2786
2 Pm 0.7587 0.7620 0.7214
3 Be 0.5000 0.5000 0.5000
4 Pd 0.2119 0.7300 0.3232
5 Pd 0.2658 0.2698 0.6776
6 Pd 0.2671 0.7934 0.6734
7 Pd 0.7329 0.2066 0.3266
8 Pd 0.7342 0.7302 0.3224
9 Pd 0.7881 0.2700 0.6768
10 Pb 0.0000 0.0000 0.0000

## Properties
As for the total energy: -53.53 eV/cell. As for the density: 9.03 g/cm³.